[1]
## LiTeMo (GGA-PBE)

Data for a relaxed structure of LiTeMo.

abc: 4.7139 4.7139 2.8791
angles: 90.00 90.00 120.00
Space group P3m1 (No. 156)
Inequivalent atoms, fractional coordinates:
Li 0.0000 0.0000 0.0000 x1
Te 0.3333 0.6667 0.5023 x1
Mo 0.6667 0.3333 0.5001 x1

Mass density, g cm⁻³: 6.9
Uncorrected formation energy, eV/atom: 0.307
Excess energy over the best structure of this formula in the dataset, eV/atom: 0.237

[2]
## LiTe2Mo (GGA-PBE)

Data for a relaxed structure of LiTe2Mo.

abc: 3.2661 3.2661 32.0130
angles: 90.00 90.00 120.00
Space group R3m (No. 160, hexagonal axes)
Inequivalent atoms, fractional coordinates:
Li 0.0000 0.0000 0.0000 x3
Te 0.0000 0.0000 0.5319 x3
Te 0.0000 0.0000 0.7366 x3
Mo 0.0000 0.0000 0.2573 x3

Mass density, g cm⁻³: 6.0
Uncorrected formation energy, eV/atom: 0.172
Excess energy over the best structure of this formula in the dataset, eV/atom: 0.372

[3]
## LiTe2Mo (GGA-PBE)

Data for a relaxed structure of LiTe2Mo.

abc: 3.604 5.712 8.581
angles: 90.00 90.00 90.00
Space group Cmmm (No. 65)
Inequivalent atoms, fractional coordinates:
Li 0.000 0.000 0.000 x2
Te 0.000 0.500 0.255 x4
Mo 0.000 0.000 0.500 x2

Mass density, g cm⁻³: 6.7
Uncorrected formation energy, eV/atom: 0.193
Excess energy over the best structure of this formula in the dataset, eV/atom: 0.393